{
  "formula": "CaCr2Si8O20",
  "functional": "GGA-PBEsol",
  "state": "relaxed",
  "cell": [[7.251, 0.000, 0.000], [0.000, 7.251, 0.000], [0.000, 0.000, 15.498]],
  "species": ["Ca", "Ca", "Cr", "Cr", "Cr", "Cr", "Si", "Si", "Si", "Si", "Si", "Si", "Si", "Si", "Si", "Si", "Si", "Si", "Si", "Si", "Si", "Si", "O", "O", "O", "O", "O", "O", "O", "O", "O", "O", "O", "O", "O", "O", "O", "O", "O", "O", "O", "O", "O", "O", "O", "O", "O", "O", "O", "O", "O", "O", "O", "O", "O", "O", "O", "O", "O", "O", "O", "O"],
  "fractional_positions": [[0.000, 0.000, 0.000], [0.500, 0.500, 0.500], [0.000, 0.500, 0.077], [0.000, 0.500, 0.577], [0.500, 0.000, 0.423], [0.500, 0.000, 0.923], [0.182, 0.733, 0.339], [0.187, 0.252, 0.859], [0.233, 0.682, 0.839], [0.248, 0.313, 0.359], [0.252, 0.813, 0.141], [0.267, 0.182, 0.661], [0.313, 0.752, 0.641], [0.318, 0.233, 0.161], [0.682, 0.767, 0.161], [0.687, 0.248, 0.641], [0.733, 0.818, 0.661], [0.748, 0.187, 0.141], [0.752, 0.687, 0.359], [0.767, 0.318, 0.839], [0.813, 0.748, 0.859], [0.818, 0.267, 0.339], [0.031, 0.272, 0.373], [0.039, 0.780, 0.868], [0.094, 0.287, 0.618], [0.121, 0.736, 0.064], [0.181, 0.744, 0.235], [0.213, 0.406, 0.118], [0.220, 0.039, 0.132], [0.228, 0.469, 0.873], [0.236, 0.621, 0.564], [0.244, 0.681, 0.735], [0.256, 0.181, 0.765], [0.264, 0.121, 0.936], [0.272, 0.969, 0.627], [0.280, 0.539, 0.368], [0.287, 0.906, 0.382], [0.319, 0.244, 0.265], [0.379, 0.236, 0.436], [0.406, 0.787, 0.882], [0.461, 0.280, 0.632], [0.469, 0.772, 0.127], [0.531, 0.228, 0.127], [0.539, 0.720, 0.632], [0.594, 0.213, 0.882], [0.621, 0.764, 0.436], [0.681, 0.756, 0.265], [0.713, 0.094, 0.382], [0.720, 0.461, 0.368], [0.728, 0.031, 0.627], [0.736, 0.879, 0.936], [0.744, 0.819, 0.765], [0.756, 0.319, 0.735], [0.764, 0.379, 0.564], [0.772, 0.531, 0.873], [0.780, 0.961, 0.132], [0.787, 0.594, 0.118], [0.819, 0.256, 0.235], [0.879, 0.264, 0.064], [0.906, 0.713, 0.618], [0.961, 0.220, 0.868], [0.969, 0.728, 0.373]],
  "final_energy_ev_per_cell": -508.15,
  "raw_formation_energy_ev_per_atom": -2.60
}